The following is a PBE with a Hubbard U calculation of crystalline Fe2NF2 at its relaxed geometry, from the Alexandria database.

Cell: 4.5729 4.5729 4.5729 Å, 127.27 127.27 77.81°
With the nearest neighbours (Å) after each atom.
Fractional coordinates of all 5 atoms:
Fe: 0.2500 0.7500 0.5000  4 F 2.13
Fe: 0.7500 0.2500 0.5000  4 F 2.13
N: 0.0000 0.0000 0.0000  2 F 2.42, 8 Fe 2.70
F: 0.3404 0.3404 0.0000  4 Fe 2.13, 1 F 2.27
F: 0.6596 0.6596 0.0000  4 Fe 2.13, 1 F 2.27

Values from the calculation:
**E_tot**: -25.13 eV/cell
**ΔE to the lowest computed polymorph**: 0 meV/atom